Record 1
Material: CsAsOF2
Method: DFT, PBE-GGA
State: relaxed

Lattice parameters (Å, degrees): 4.6485 4.6485 3.9616 90.00 90.00 90.00
Last column: nearest neighbours and their distance in Å.
Sites, in units of the cell vectors:
Cs 0.5000 0.5000 0.5000  8 F 3.05, 4 O 3.29
As 0.0000 0.0000 0.0000  2 O 1.98
O 0.0000 0.0000 0.5000  2 As 1.98
F 0.0000 0.5000 0.0000  2 As 2.32
F 0.5000 0.0000 0.0000  2 As 2.32

Computed properties:
relative energy among the computed polymorphs: 0 meV per atom
total magnetic moment: 0.0 μB/f.u.

---

Record 2
Material: Cs6AsOF
Method: DFT, PBE-GGA
State: relaxed

Lattice parameters (Å, degrees): 7.8328 7.8328 15.5981 90.00 90.00 120.00
Last column: nearest neighbours and their distance in Å.
Sites, in units of the cell vectors:
Cs 0.6242 0.6132 0.1394  1 O 2.94, 1 F 3.05
Cs 0.9891 0.3758 0.1394  1 O 2.94, 1 F 3.05
Cs 0.3758 0.9891 0.6394  1 O 2.94, 1 F 3.05
Cs 0.0109 0.6242 0.8606  1 O 2.94, 1 F 3.05
Cs 0.3868 0.3758 0.3606  1 O 2.94, 1 F 3.05
Cs 0.9891 0.6132 0.3606  1 O 2.94, 1 F 3.05
Cs 0.6132 0.9891 0.8606  1 O 2.94, 1 F 3.05
Cs 0.6242 0.0109 0.3606  1 O 2.94, 1 F 3.05
Cs 0.0109 0.3868 0.6394  1 O 2.94, 1 F 3.05
Cs 0.3868 0.0109 0.1394  1 O 2.94, 1 F 3.05
Cs 0.6132 0.6242 0.6394  1 O 2.94, 1 F 3.05
Cs 0.3758 0.3868 0.8606  1 O 2.94, 1 F 3.05
As 0.0000 0.0000 0.0000  6 Cs 3.70
As 0.0000 0.0000 0.5000  6 Cs 3.70
O 0.6667 0.3333 0.2500  6 Cs 2.94
O 0.3333 0.6667 0.7500  6 Cs 2.94
F 0.3333 0.6667 0.2500  6 Cs 3.05
F 0.6667 0.3333 0.7500  6 Cs 3.05

Computed properties:
raw total energy: -25.6 eV/f.u.
total magnetic moment: 0.0 μB/f.u.

---

Record 3
Material: Cs2AsOF5
Method: DFT, PBE-GGA
State: relaxed

Lattice parameters (Å, degrees): 6.5655 6.5655 6.5655 86.54 122.02 122.02
Last column: nearest neighbours and their distance in Å.
Sites, in units of the cell vectors:
Cs 0.5000 0.2489 0.7489  2 O 3.23, 10 F 3.25-3.37
Cs 0.5000 0.7489 0.2489  2 O 3.23, 10 F 3.25-3.37
As 0.0000 0.9847 0.9847  1 O 1.69, 5 F 1.85-1.86
O 0.0000 0.8084 0.8084  1 As 1.69
F 0.4075 0.2114 0.2114  1 As 1.85
F 0.5925 0.8038 0.8038  1 As 1.85
F 0.0000 0.8038 0.2114  1 As 1.85
F 0.0000 0.2114 0.8038  1 As 1.85
F 0.0000 0.1789 0.1789  1 As 1.86

Computed properties:
raw total energy: -41.9 eV/f.u.
total magnetic moment: 0.1 μB/f.u.

---

Record 4
Material: CsAsOF2
Method: DFT, PBE-GGA
State: relaxed

Lattice parameters (Å, degrees): 5.2376 5.2376 4.3397 90.00 90.00 90.00
Last column: nearest neighbours and their distance in Å.
Sites, in units of the cell vectors:
Cs 0.0000 0.0000 0.0000  2 O 2.17
As 0.5000 0.5000 0.5000  8 F 3.40, 4 O 3.70
O 0.0000 0.0000 0.5000  2 Cs 2.17
F 0.0000 0.5000 0.0000  2 Cs 2.62
F 0.5000 0.0000 0.0000  2 Cs 2.62

Computed properties:
relative energy among the computed polymorphs: 1786 meV per atom
total magnetic moment: 1.6 μB/f.u.

---

Record 5
Material: CsAsO2F
Method: DFT, PBE-GGA
State: relaxed

Lattice parameters (Å, degrees): 3.9511 3.9511 4.9579 90.00 90.00 90.00
Last column: nearest neighbours and their distance in Å.
Sites, in units of the cell vectors:
Cs 0.5000 0.5000 0.5000  4 F 2.79
As 0.0000 0.0000 0.0000  4 O 1.98
O 0.0000 0.5000 0.0000  2 As 1.98
O 0.5000 0.0000 0.0000  2 As 1.98
F 0.0000 0.0000 0.5000  2 As 2.48

Computed properties:
raw total energy: -24.0 eV/f.u.
total magnetic moment: 0.0 μB/f.u.

---

Record 6
Material: Cs2AsOsF6
Method: DFT, PBE-GGA
State: relaxed

Lattice parameters (Å, degrees): 5.9764 5.9764 7.0820 65.04 65.04 90.00
Last column: nearest neighbours and their distance in Å.
Sites, in units of the cell vectors:
Cs 0.7500 0.2500 0.5000  4 F 3.09
Cs 0.2500 0.7500 0.5000  4 F 3.09
As 0.5000 0.5000 0.0000  4 F 2.15
Os 0.0000 0.0000 0.0000  6 F 2.04-2.08
F 0.1792 0.1792 0.6416  1 Os 2.04
F 0.8208 0.8208 0.3584  1 Os 2.04
F 0.2459 0.2459 0.0000  1 Os 2.08, 1 As 2.15
F 0.7541 0.7541 0.0000  1 Os 2.08, 1 As 2.15
F 0.7541 0.2459 0.0000  1 Os 2.08, 1 As 2.15
F 0.2459 0.7541 0.0000  1 Os 2.08, 1 As 2.15

Computed properties:
raw total energy: -45.9 eV/f.u.
total magnetic moment: 1.0 μB/f.u.

---

Record 7
Material: CsAsPbF6
Method: DFT, PBE-GGA
State: relaxed

Lattice parameters (Å, degrees): 6.6772 6.6762 4.8850 90.02 90.00 59.97
Last column: nearest neighbours and their distance in Å.
Sites, in units of the cell vectors:
Cs 0.0000 0.9999 0.9354  6 F 2.94-3.10
As 0.3333 0.3334 0.5413  3 F 1.85
Pb 0.6666 0.6666 0.4285  3 F 2.24
F 0.1412 0.2777 0.3211  1 As 1.85
F 0.4293 0.9533 0.7101  1 Pb 2.24, 1 As 2.43
F 0.6173 0.4297 0.7104  1 Pb 2.24, 1 As 2.43
F 0.9530 0.6174 0.7102  1 Pb 2.24, 1 As 2.43
F 0.2776 0.5813 0.3214  1 As 1.85
F 0.5815 0.1409 0.3215  1 As 1.85

Computed properties:
raw total energy: -41.8 eV/f.u.
total magnetic moment: 0.0 μB/f.u.

---

Record 8
Material: Cs2AsPbF6
Method: DFT, PBE-GGA
State: relaxed

Lattice parameters (Å, degrees): 6.4079 6.4079 7.2409 63.74 63.74 90.00
Last column: nearest neighbours and their distance in Å.
Sites, in units of the cell vectors:
Pb 0.0000 0.0000 0.0000  6 F 2.39-2.47
Cs 0.7500 0.2500 0.5000  4 F 3.23
Cs 0.2500 0.7500 0.5000  4 F 3.23
As 0.5000 0.5000 0.0000  4 F 2.06
F 0.2115 0.2115 0.5770  1 Pb 2.39
F 0.7885 0.7885 0.4230  1 Pb 2.39
F 0.2726 0.2726 0.0000  1 As 2.06
F 0.7274 0.7274 0.0000  1 As 2.06
F 0.7274 0.2726 0.0000  1 As 2.06
F 0.2726 0.7274 0.0000  1 As 2.06

Computed properties:
raw total energy: -43.9 eV/f.u.
total magnetic moment: 1.0 μB/f.u.

---

Record 9
Material: Cs2AsPdF6
Method: DFT, PBE-GGA
State: relaxed

Lattice parameters (Å, degrees): 6.6308 6.6308 6.3910 58.75 58.75 90.00
Last column: nearest neighbours and their distance in Å.
Sites, in units of the cell vectors:
Cs 0.7500 0.2500 0.5000  12 F 3.21-3.32
Cs 0.2500 0.7500 0.5000  12 F 3.21-3.32
As 0.5000 0.5000 0.0000  6 F 2.06-2.11
Pd 0.0000 0.0000 0.0000  2 F 2.23
F 0.2567 0.2567 0.4867  1 As 2.11, 1 Pd 2.23
F 0.7433 0.7433 0.5133  1 As 2.11, 1 Pd 2.23
F 0.2807 0.2807 0.0000  1 As 2.06
F 0.7193 0.7193 0.0000  1 As 2.06
F 0.7193 0.2807 0.0000  1 As 2.06
F 0.2807 0.7193 0.0000  1 As 2.06

Computed properties:
raw total energy: -43.3 eV/f.u.
total magnetic moment: 1.0 μB/f.u.

---

Record 10
Material: Cs2RbAsF
Method: DFT, PBE-GGA
State: relaxed

Lattice parameters (Å, degrees): 5.7440 5.7440 5.4467 90.00 90.00 90.00
Last column: nearest neighbours and their distance in Å.
Sites, in units of the cell vectors:
Cs 0.0000 0.5000 0.0000  2 F 2.87
Cs 0.5000 0.0000 0.0000  2 F 2.87
As 0.5000 0.5000 0.5000  8 Cs 3.96, 4 Rb 4.06
Rb 0.0000 0.0000 0.5000  2 F 2.72
F 0.0000 0.0000 0.0000  2 Rb 2.72, 4 Cs 2.87

Computed properties:
relative energy among the computed polymorphs: 0 meV per atom
total magnetic moment: 1.0 μB/f.u.

---

Record 11
Material: Cs2RbAsF
Method: DFT, PBE-GGA
State: relaxed

Lattice parameters (Å, degrees): 5.5830 7.2904 5.5830 90.00 90.00 90.00
Last column: nearest neighbours and their distance in Å.
Sites, in units of the cell vectors:
Cs 0.0000 0.0000 0.5000  2 F 2.79
Cs 0.5000 0.0000 0.0000  2 F 2.79
As 0.0000 0.5000 0.0000  2 F 3.65, 4 Rb 3.95
Rb 0.5000 0.5000 0.5000  4 As 3.95
F 0.0000 0.0000 0.0000  4 Cs 2.79

Computed properties:
relative energy among the computed polymorphs: 328 meV per atom
total magnetic moment: 1.2 μB/f.u.

---

Record 12
Material: Cs2RbAsF6
Method: DFT, PBE-GGA
State: relaxed

Lattice parameters (Å, degrees): 6.7685 6.7685 6.7685 60.00 60.00 60.00
Last column: nearest neighbours and their distance in Å.
Sites, in units of the cell vectors:
Cs 0.7500 0.7500 0.7500  12 F 3.40
Cs 0.2500 0.2500 0.2500  12 F 3.40
As 0.0000 0.0000 0.0000  6 F 2.08
Rb 0.5000 0.5000 0.5000  6 F 2.71
F 0.7826 0.7826 0.2174  1 As 2.08
F 0.7826 0.2174 0.2174  1 As 2.08
F 0.2174 0.7826 0.7826  1 As 2.08
F 0.2174 0.2174 0.7826  1 As 2.08
F 0.2174 0.7826 0.2174  1 As 2.08
F 0.7826 0.2174 0.7826  1 As 2.08

Computed properties:
raw total energy: -44.0 eV/f.u.
total magnetic moment: 0.0 μB/f.u.

---

Record 13
Material: CsRb2AsF
Method: DFT, PBE-GGA
State: relaxed

Lattice parameters (Å, degrees): 5.5535 5.5535 5.8711 90.00 90.00 90.00
Last column: nearest neighbours and their distance in Å.
Sites, in units of the cell vectors:
Cs 0.0000 0.0000 0.5000  2 F 2.94
As 0.5000 0.5000 0.5000  4 Cs 3.93, 8 Rb 4.04
Rb 0.0000 0.5000 0.0000  2 F 2.78
Rb 0.5000 0.0000 0.0000  2 F 2.78
F 0.0000 0.0000 0.0000  4 Rb 2.78, 2 Cs 2.94

Computed properties:
raw total energy: -15.1 eV/f.u.
total magnetic moment: 1.0 μB/f.u.

---

Record 14
Material: CsRbAsF6
Method: DFT, PBE-GGA
State: relaxed

Lattice parameters (Å, degrees): 6.5862 6.5862 5.6256 90.02 89.98 59.91
Last column: nearest neighbours and their distance in Å.
Sites, in units of the cell vectors:
Cs 0.9999 0.9999 0.0000  6 F 3.07
Rb 0.6664 0.6664 0.4999  6 F 2.79
As 0.3333 0.3334 0.5000  6 F 1.93
F 0.0937 0.3312 0.3046  1 As 1.93
F 0.3313 0.0936 0.6954  1 As 1.93
F 0.5749 0.3318 0.6955  1 As 1.93
F 0.0925 0.5761 0.6946  1 As 1.93
F 0.3317 0.5750 0.3045  1 As 1.93
F 0.5761 0.0926 0.3054  1 As 1.93

Computed properties:
raw total energy: -39.5 eV/f.u.
total magnetic moment: 1.0 μB/f.u.

---

Record 15
Material: Cs2AsRuF6
Method: DFT, PBE-GGA
State: relaxed

Lattice parameters (Å, degrees): 5.9260 5.9260 7.0128 65.01 65.01 90.00
Last column: nearest neighbours and their distance in Å.
Sites, in units of the cell vectors:
Cs 0.7500 0.2500 0.5000  4 F 3.06
Cs 0.2500 0.7500 0.5000  4 F 3.06
Ru 0.0000 0.0000 0.0000  6 F 2.05-2.09
As 0.5000 0.5000 0.0000  4 F 2.10
F 0.1823 0.1823 0.6354  1 Ru 2.05
F 0.8177 0.8177 0.3646  1 Ru 2.05
F 0.2495 0.2495 0.0000  1 Ru 2.09, 1 As 2.10
F 0.7505 0.7505 0.0000  1 Ru 2.09, 1 As 2.10
F 0.7505 0.2495 0.0000  1 Ru 2.09, 1 As 2.10
F 0.2495 0.7505 0.0000  1 Ru 2.09, 1 As 2.10

Computed properties:
raw total energy: -45.6 eV/f.u.
total magnetic moment: 1.0 μB/f.u.

---

Record 16
Material: Cs2AsSF6
Method: DFT, PBE-GGA
State: relaxed

Lattice parameters (Å, degrees): 6.7376 6.7376 6.9040 60.79 60.79 90.00
Last column: nearest neighbours and their distance in Å.
Sites, in units of the cell vectors:
Cs 0.7500 0.2500 0.5000  12 F 3.43-3.50
Cs 0.2500 0.7500 0.5000  12 F 3.43-3.50
As 0.0000 0.0000 0.0000  6 F 1.83
S 0.5000 0.5000 0.0000  6 F 2.93-3.16
F 0.1834 0.1834 0.6331  1 As 1.83
F 0.8166 0.8166 0.3669  1 As 1.83
F 0.1923 0.1923 0.0000  1 As 1.83
F 0.8077 0.8077 0.0000  1 As 1.83
F 0.8077 0.1923 0.0000  1 As 1.83
F 0.1923 0.8077 0.0000  1 As 1.83

Computed properties:
raw total energy: -41.3 eV/f.u.
total magnetic moment: 1.0 μB/f.u.

---

Record 17
Material: Cs2ScAsF6
Method: DFT, PBE-GGA
State: relaxed

Lattice parameters (Å, degrees): 7.1720 7.1720 6.5741 56.94 56.94 90.00
Last column: nearest neighbours and their distance in Å.
Sites, in units of the cell vectors:
Cs 0.7500 0.2500 0.5000  12 F 3.33-3.59
Cs 0.2500 0.7500 0.5000  12 F 3.33-3.59
Sc 0.5000 0.5000 0.0000  6 F 2.01-2.11
As 0.0000 0.0000 0.0000  2 F 2.08
F 0.2481 0.2481 0.5038  1 As 2.08, 1 Sc 2.11
F 0.7519 0.7519 0.4962  1 As 2.08, 1 Sc 2.11
F 0.3019 0.3019 0.0000  1 Sc 2.01
F 0.6981 0.6981 0.0000  1 Sc 2.01
F 0.6981 0.3019 0.0000  1 Sc 2.01
F 0.3019 0.6981 0.0000  1 Sc 2.01

Computed properties:
raw total energy: -51.8 eV/f.u.
total magnetic moment: 2.0 μB/f.u.

---

Record 18
Material: CsAs2SeF
Method: DFT, PBE-GGA
State: relaxed

Lattice parameters (Å, degrees): 7.3520 7.3520 6.1153 90.00 90.00 90.00
Last column: nearest neighbours and their distance in Å.
Sites, in units of the cell vectors:
Cs 0.0000 0.0000 0.0000  2 Se 3.06
As 0.0000 0.5000 0.0000  2 Cs 3.68
As 0.5000 0.0000 0.0000  2 Cs 3.68
Se 0.0000 0.0000 0.5000  2 Cs 3.06
F 0.5000 0.5000 0.5000  8 As 4.78, 4 Se 5.20

Computed properties:
raw total energy: -9.8 eV/f.u.
total magnetic moment: 5.2 μB/f.u.

---

Record 19
Material: CsAsSe2F
Method: DFT, PBE-GGA
State: relaxed

Lattice parameters (Å, degrees): 6.0061 6.0061 3.9974 90.00 90.00 90.00
Last column: nearest neighbours and their distance in Å.
Sites, in units of the cell vectors:
Cs 0.5000 0.5000 0.5000  8 Se 3.61, 2 Cs 4.00
As 0.0000 0.0000 0.5000  2 F 2.00
Se 0.0000 0.5000 0.0000  2 F 3.00
Se 0.5000 0.0000 0.0000  2 F 3.00
F 0.0000 0.0000 0.0000  2 As 2.00

Computed properties:
relative energy among the computed polymorphs: 0 meV per atom
total magnetic moment: 1.2 μB/f.u.

---

Record 20
Material: Cs2AsSeF6
Method: DFT, PBE-GGA
State: relaxed

Lattice parameters (Å, degrees): 7.1914 7.1914 6.6114 57.05 57.05 90.00
Last column: nearest neighbours and their distance in Å.
Sites, in units of the cell vectors:
Cs 0.7500 0.2500 0.5000  12 F 3.35-3.60
Cs 0.2500 0.7500 0.5000  12 F 3.35-3.60
As 0.5000 0.5000 0.0000  6 F 1.99-2.16
Se 0.0000 0.0000 0.0000  2 F 2.07
F 0.2444 0.2444 0.5113  1 Se 2.07, 1 As 2.16
F 0.7556 0.7556 0.4887  1 Se 2.07, 1 As 2.16
F 0.3039 0.3039 0.0000  1 As 1.99
F 0.6961 0.6961 0.0000  1 As 1.99
F 0.6961 0.3039 0.0000  1 As 1.99
F 0.3039 0.6961 0.0000  1 As 1.99

Computed properties:
raw total energy: -41.1 eV/f.u.
total magnetic moment: 1.0 μB/f.u.

---

Record 21
Material: CsAsSe2F
Method: DFT, PBE-GGA
State: relaxed

Lattice parameters (Å, degrees): 6.5565 6.5565 6.7376 90.00 90.00 90.00
Last column: nearest neighbours and their distance in Å.
Sites, in units of the cell vectors:
Cs 0.0000 0.0000 0.0000  4 Se 3.28, 2 As 3.37
As 0.0000 0.0000 0.5000  2 Cs 3.37
Se 0.0000 0.5000 0.0000  2 Cs 3.28
Se 0.5000 0.0000 0.0000  2 Cs 3.28
F 0.5000 0.5000 0.5000  4 As 4.64, 8 Se 4.70

Computed properties:
relative energy among the computed polymorphs: 1142 meV per atom
total magnetic moment: 6.3 μB/f.u.

---

Record 22
Material: Cs2SnAsF6
Method: DFT, PBE-GGA
State: relaxed

Lattice parameters (Å, degrees): 6.3602 6.3602 7.1340 63.53 63.53 90.00
Last column: nearest neighbours and their distance in Å.
Sites, in units of the cell vectors:
Cs 0.7500 0.2500 0.5000  12 F 3.22-3.57
Cs 0.2500 0.7500 0.5000  12 F 3.22-3.57
As 0.5000 0.5000 0.0000  4 F 2.07
Sn 0.0000 0.0000 0.0000  6 F 2.29-2.43
F 0.2072 0.2072 0.5857  1 Sn 2.29
F 0.7928 0.7928 0.4143  1 Sn 2.29
F 0.2696 0.2696 0.0000  1 As 2.07
F 0.7304 0.7304 0.0000  1 As 2.07
F 0.7304 0.2696 0.0000  1 As 2.07
F 0.2696 0.7304 0.0000  1 As 2.07

Computed properties:
raw total energy: -44.0 eV/f.u.
total magnetic moment: 1.0 μB/f.u.

---

Record 23
Material: CsSrAsF6
Method: DFT, PBE-GGA
State: relaxed

Lattice parameters (Å, degrees): 6.2027 6.2025 6.1747 90.06 89.94 59.85
Last column: nearest neighbours and their distance in Å.
Sites, in units of the cell vectors:
Cs 0.9997 0.9998 0.0000  6 F 3.05
Sr 0.6662 0.6662 0.5000  6 F 2.44
As 0.3335 0.3335 0.5000  6 F 2.08-2.09
F 0.0433 0.3583 0.3123  1 As 2.08
F 0.3583 0.0433 0.6877  1 As 2.08
F 0.5985 0.3604 0.6895  1 As 2.09
F 0.0407 0.5991 0.6884  1 As 2.09
F 0.3604 0.5986 0.3105  1 As 2.09
F 0.5991 0.0408 0.3116  1 As 2.09

Computed properties:
raw total energy: -43.9 eV/f.u.
total magnetic moment: 0.0 μB/f.u.

---

Record 24
Material: Cs2SrAsF6
Method: DFT, PBE-GGA
State: relaxed

Lattice parameters (Å, degrees): 6.3272 6.3272 7.2642 64.18 64.18 90.00
Last column: nearest neighbours and their distance in Å.
Sites, in units of the cell vectors:
Cs 0.7500 0.2500 0.5000  4 F 3.20
Cs 0.2500 0.7500 0.5000  4 F 3.20
Sr 0.0000 0.0000 0.0000  6 F 2.37-2.42
As 0.5000 0.5000 0.0000  4 F 2.06
F 0.2070 0.2070 0.5861  1 Sr 2.37
F 0.7930 0.7930 0.4139  1 Sr 2.37
F 0.2702 0.2702 0.0000  1 As 2.06
F 0.7298 0.7298 0.0000  1 As 2.06
F 0.7298 0.2702 0.0000  1 As 2.06
F 0.2702 0.7298 0.0000  1 As 2.06

Computed properties:
raw total energy: -46.4 eV/f.u.
total magnetic moment: 1.0 μB/f.u.